(1)
Material: ScAuNF2
Method: DFT, PBE-GGA
State: optimized geometry

- calculated density (g cm⁻³) = 6.09
- polymorph energy (0 for the lowest one) (meV per atom) = 1114
- formation energy without anion corrections (meV/atom) = -295

a b c (Å): 4.549 4.549 3.871
angles (deg): 90.00 90.00 90.00
Space group P4/mmm (No. 123)
One atom of each set of equivalent atoms:
1 Sc 0.000 0.000 0.000
2 Au 0.500 0.500 0.500
3 N 0.500 0.500 0.000
4 F 0.000 0.500 0.500

***

(2)
Material: Sc2AuNF
Method: DFT, PBE-GGA
State: optimized geometry

- calculated density (g cm⁻³) = 4.82
- formation energy without anion corrections (meV/atom) = 604

a b c (Å): 5.112 5.112 4.220
angles (deg): 90.00 90.00 90.00
Space group P4/mmm (No. 123)
One atom of each set of equivalent atoms:
1 Sc 0.000 0.500 0.000
2 Au 0.000 0.000 0.000
3 N 0.500 0.500 0.500
4 F 0.000 0.000 0.500

***

(3)
Material: AuSe2NF
Method: DFT, PBE-GGA
State: optimized geometry

- calculated density (g cm⁻³) = 6.99
- polymorph energy (0 for the lowest one) (meV per atom) = 255
- formation energy without anion corrections (meV/atom) = 1355

a b c (Å): 4.488 4.488 4.579
angles (deg): 90.00 90.00 90.00
Space group P4/mmm (No. 123)
One atom of each set of equivalent atoms:
1 Au 0.000 0.000 0.000
2 Se 0.000 0.500 0.500
3 N 0.500 0.500 0.000
4 F 0.500 0.500 0.500